A relaxed CaNb2ReSi crystal, computed with PBE.

**E_form (uncorrected)**: 2567 meV per atom
**M_tot**: 0.823 μB per formula unit
**Mass density**: 7.155 g/cm3

The structure in CIF format:
```
data_CaNb2ReSi
_cell_length_a 4.691
_cell_length_b 4.691
_cell_length_c 4.642
_cell_angle_alpha 90.00
_cell_angle_beta 90.00
_cell_angle_gamma 90.00
_space_group_name_H-M_alt 'P 1'
_space_group_IT_number 1
loop_
_space_group_symop_operation_xyz
'x,y,z'
loop_
_atom_site_label
_atom_site_type_symbol
_atom_site_fract_x
_atom_site_fract_y
_atom_site_fract_z
Ca1 Ca 0.000 0.000 0.000
Nb1 Nb 0.000 0.500 0.000
Nb2 Nb 0.500 0.000 0.000
Re1 Re 0.000 0.000 0.500
Si1 Si 0.500 0.500 0.500
```

A relaxed SrCa2NbRe crystal, computed with PBE.

**Formation energy from the elements**: 12.23 eV/f.u.
**M_tot**: 0.001 μB per formula unit
**Mass density**: 5.627 g/cm3

The structure in CIF format:
```
data_SrCa2NbRe
_cell_length_a 5.164
_cell_length_b 5.164
_cell_length_c 4.945
_cell_angle_alpha 90.00
_cell_angle_beta 90.00
_cell_angle_gamma 90.00
_space_group_name_H-M_alt 'P 1'
_space_group_IT_number 1
loop_
_space_group_symop_operation_xyz
'x,y,z'
loop_
_atom_site_label
_atom_site_type_symbol
_atom_site_fract_x
_atom_site_fract_y
_atom_site_fract_z
Sr1 Sr 0.000 0.000 0.000
Ca1 Ca 0.000 0.500 0.000
Ca2 Ca 0.500 0.000 0.000
Nb1 Nb 0.000 0.000 0.500
Re1 Re 0.500 0.500 0.500
```

A relaxed CaNb2ReTc crystal, computed with PBE.

**Formation energy from the elements**: 7.75 eV/f.u.
**M_tot**: 2.410 μB per formula unit
**Mass density**: 6.793 g/cm3

The structure in CIF format:
```
data_CaNb2ReTc
_cell_length_a 4.840
_cell_length_b 4.840
_cell_length_c 5.322
_cell_angle_alpha 90.00
_cell_angle_beta 90.00
_cell_angle_gamma 90.00
_space_group_name_H-M_alt 'P 1'
_space_group_IT_number 1
loop_
_space_group_symop_operation_xyz
'x,y,z'
loop_
_atom_site_label
_atom_site_type_symbol
_atom_site_fract_x
_atom_site_fract_y
_atom_site_fract_z
Ca1 Ca 0.000 0.000 0.000
Nb1 Nb 0.000 0.500 0.500
Nb2 Nb 0.500 0.000 0.500
Re1 Re 0.000 0.000 0.500
Tc1 Tc 0.500 0.500 0.000
```

A relaxed CaNbReTc2 crystal, computed with PBE.

**Formation energy from the elements**: 7.02 eV/f.u.
**M_tot**: 2.790 μB per formula unit
**Mass density**: 7.580 g/cm3

The structure in CIF format:
```
data_CaNbReTc2
_cell_length_a 4.815
_cell_length_b 4.815
_cell_length_c 4.869
_cell_angle_alpha 90.00
_cell_angle_beta 90.00
_cell_angle_gamma 90.00
_space_group_name_H-M_alt 'P 1'
_space_group_IT_number 1
loop_
_space_group_symop_operation_xyz
'x,y,z'
loop_
_atom_site_label
_atom_site_type_symbol
_atom_site_fract_x
_atom_site_fract_y
_atom_site_fract_z
Ca1 Ca 0.000 0.000 0.000
Nb1 Nb 0.500 0.500 0.500
Re1 Re 0.500 0.500 0.000
Tc1 Tc 0.000 0.500 0.500
Tc2 Tc 0.500 0.000 0.500
```

The highest M_tot belongs to which entry? CaNbReTc2